Record 1
{
  "formula": "Hf2BiC",
  "functional": "PBE",
  "state": "relaxed",
  "cell": [[-1.3752, -2.3640, 1.8112], [-2.6166, -2.4783, -5.2215], [6.9004, -3.5618, 0.5903]],
  "species": ["Hf", "Hf", "Hf", "Hf", "Bi", "Bi", "C", "C"],
  "fractional_positions": [[0.2500, 0.2925, 0.0134], [0.7500, 0.7075, 0.9866], [0.2500, 0.3617, 0.6456], [0.7500, 0.6383, 0.3544], [0.7500, 0.1401, 0.3041], [0.2500, 0.8599, 0.6959], [0.7500, 0.3526, 0.8329], [0.2500, 0.6474, 0.1671]],
  "volume_a3_per_atom": 19.62,
  "dos_at_fermi_per_ev_fu": 2.15,
  "dft_energy_ev_per_atom": -8.69,
  "delta_e_f_ev_per_fu": -1.8,
  "mass_density_g_cm3": 12.228
}

Record 2
{
  "formula": "Hf3BiC",
  "functional": "PBE",
  "state": "relaxed",
  "cell": [[3.3279, 0.0000, 0.0000], [0.0000, 7.9450, -0.8764], [0.0000, -2.7080, 7.9147]],
  "species": ["Hf", "Hf", "Hf", "Hf", "Hf", "Hf", "Bi", "Bi", "C", "C"],
  "fractional_positions": [[0.7500, 0.6247, 0.3666], [0.2500, 0.3753, 0.6334], [0.7500, 0.3227, 0.9416], [0.2500, 0.9961, 0.6506], [0.2500, 0.6773, 0.0584], [0.7500, 0.0039, 0.3494], [0.2500, 0.2495, 0.2205], [0.7500, 0.7505, 0.7795], [0.2500, 0.8131, 0.3583], [0.7500, 0.1869, 0.6417]],
  "volume_a3_per_atom": 20.14,
  "dos_at_fermi_per_ev_fu": 3.11,
  "dft_energy_ev_per_atom": -9.03,
  "delta_e_f_ev_per_fu": -2.2,
  "mass_density_g_cm3": 12.476
}

Record 3
{
  "formula": "Hf2BiC",
  "functional": "PBE",
  "state": "relaxed",
  "cell": [[-0.7796, -4.1243, 2.2042], [-2.8657, -3.2296, -1.9579], [1.8064, -4.0110, -1.7676]],
  "species": ["C", "Hf", "Hf", "Bi"],
  "fractional_positions": [[0.0000, 0.0000, 0.0000], [0.2500, 0.2500, 0.2500], [0.7500, 0.7500, 0.7500], [0.5000, 0.5000, 0.5000]],
  "volume_a3_per_atom": 18.84,
  "dos_at_fermi_per_ev_fu": 3.25,
  "dft_energy_ev_per_atom": -7.32,
  "delta_e_f_ev_per_fu": 3.7,
  "mass_density_g_cm3": 12.738
}

Record 4
{
  "formula": "Hf2BiC",
  "functional": "PBE",
  "state": "relaxed",
  "cell": [[3.3662, 0.0000, 0.0000], [1.6831, 2.9152, 0.0000], [1.6831, 0.9717, 8.3585]],
  "species": ["C", "Hf", "Hf", "Bi"],
  "fractional_positions": [[0.5000, 0.5000, 0.5000], [0.1188, 0.1188, 0.6437], [0.8812, 0.8812, 0.3563], [0.0000, 0.0000, 0.0000]],
  "volume_a3_per_atom": 20.51,
  "dos_at_fermi_per_ev_fu": 2.71,
  "dft_energy_ev_per_atom": -8.58,
  "delta_e_f_ev_per_fu": -1.3,
  "mass_density_g_cm3": 11.701
}

Record 5
{
  "formula": "Hf6BiC2",
  "functional": "PBE",
  "state": "relaxed",
  "cell": [[6.3122, 0.2417, 0.2340], [2.1752, 7.6985, 0.6309], [2.1752, 0.8800, 7.6741]],
  "species": ["Hf", "Hf", "Hf", "Hf", "Hf", "Hf", "Hf", "Hf", "Hf", "Hf", "Hf", "Hf", "Bi", "Bi", "C", "C", "C", "C"],
  "fractional_positions": [[0.4883, 0.7059, 0.4762], [0.0117, 0.5238, 0.2941], [0.5117, 0.2941, 0.5238], [0.9883, 0.4762, 0.7059], [0.0048, 0.8955, 0.3517], [0.4952, 0.6483, 0.1045], [0.9952, 0.1045, 0.6483], [0.5048, 0.3517, 0.8955], [0.1773, 0.7214, 0.8553], [0.3227, 0.1447, 0.2786], [0.8227, 0.2786, 0.1447], [0.6773, 0.8553, 0.7214], [0.2500, 0.0672, 0.9328], [0.7500, 0.9328, 0.0672], [0.3291, 0.5119, 0.6903], [0.1709, 0.3097, 0.4881], [0.6709, 0.4881, 0.3097], [0.8291, 0.6903, 0.5119]],
  "volume_a3_per_atom": 20.12,
  "dos_at_fermi_per_ev_fu": 6.34,
  "dft_energy_ev_per_atom": -9.26,
  "delta_e_f_ev_per_fu": -1.3,
  "mass_density_g_cm3": 11.955
}

Record 6
{
  "formula": "HfBiPb2C",
  "functional": "PBE",
  "state": "relaxed",
  "cell": [[-3.2490, 4.6705, 0.3006], [-2.5204, -1.4491, -4.7271], [-3.8998, -2.9040, 2.9695]],
  "species": ["Pb", "Pb", "C", "Hf", "Bi"],
  "fractional_positions": [[0.0000, 0.0000, 0.5000], [0.5000, 0.0000, 0.0000], [0.5000, 0.5000, 0.5000], [0.0000, 0.0000, 0.0000], [0.0000, 0.5000, 0.0000]],
  "volume_a3_per_atom": 36.03,
  "dos_at_fermi_per_ev_fu": 3.87,
  "dft_energy_ev_per_atom": -4.43,
  "delta_e_f_ev_per_fu": 8.3,
  "mass_density_g_cm3": 7.502
}

Record 7
{
  "formula": "Hf2Sc2Bi2C",
  "functional": "PBE",
  "state": "relaxed",
  "cell": [[4.4720, 0.0000, 0.0000], [0.0000, 4.4720, 0.0000], [-2.2360, -2.2360, 7.6902]],
  "species": ["Hf", "Hf", "Sc", "Sc", "Bi", "Bi", "C"],
  "fractional_positions": [[0.0000, 0.5000, 0.0000], [0.5000, 0.0000, 0.0000], [0.1504, 0.1504, 0.3009], [0.8496, 0.8496, 0.6991], [0.3518, 0.3518, 0.7035], [0.6482, 0.6482, 0.2965], [0.0000, 0.0000, 0.0000]],
  "volume_a3_per_atom": 21.97,
  "dos_at_fermi_per_ev_fu": 5.14,
  "dft_energy_ev_per_atom": -7.62,
  "delta_e_f_ev_per_fu": -3.8,
  "mass_density_g_cm3": 9.468
}

Record 8
{
  "formula": "HfSc2BiC",
  "functional": "PBE",
  "state": "relaxed",
  "cell": [[-0.1633, -4.1113, 2.1054], [4.4288, 0.4590, 1.2398], [-1.2752, 2.0035, 3.8134]],
  "species": ["Sc", "Sc", "C", "Hf", "Bi"],
  "fractional_positions": [[0.0000, 0.5000, 0.0000], [0.5000, 0.0000, 0.0000], [0.0000, 0.0000, 0.0000], [0.0000, 0.0000, 0.5000], [0.5000, 0.5000, 0.5000]],
  "volume_a3_per_atom": 19.19,
  "dos_at_fermi_per_ev_fu": 4.36,
  "dft_energy_ev_per_atom": -7.64,
  "delta_e_f_ev_per_fu": -2.5,
  "mass_density_g_cm3": 8.468
}

Record 9
{
  "formula": "HfSiBiC2",
  "functional": "PBE",
  "state": "relaxed",
  "cell": [[4.3501, 0.0000, 0.0000], [0.0000, 5.8482, 0.0000], [0.0000, 0.0000, 4.3501]],
  "species": ["C", "C", "Si", "Hf", "Bi"],
  "fractional_positions": [[0.0000, 0.0000, 0.5000], [0.5000, 0.0000, 0.0000], [0.5000, 0.5000, 0.5000], [0.0000, 0.5000, 0.0000], [0.0000, 0.0000, 0.0000]],
  "e_form_raw_mev_per_atom": 2655,
  "volume_a3_per_atom": 22.13,
  "dos_at_fermi_per_ev_fu": 3.07,
  "dft_energy_ev_per_atom": -4.89,
  "mass_density_g_cm3": 6.596
}

Record 10
{
  "formula": "HfSn2BiC",
  "functional": "PBE",
  "state": "relaxed",
  "cell": [[-1.2477, -1.0250, 5.5493], [1.1066, -3.9281, -0.4768], [5.4242, 1.3498, 1.4689]],
  "species": ["C", "Hf", "Bi", "Sn", "Sn"],
  "fractional_positions": [[0.0000, 0.5000, 0.0000], [0.0000, 0.0000, 0.0000], [0.5000, 0.5000, 0.5000], [0.0000, 0.0000, 0.5000], [0.5000, 0.0000, 0.0000]],
  "volume_a3_per_atom": 27.45,
  "dos_at_fermi_per_ev_fu": 3.86,
  "dft_energy_ev_per_atom": -5.37,
  "delta_e_f_ev_per_fu": 4.2,
  "mass_density_g_cm3": 7.706
}

Record 11
{
  "formula": "HfTaBi2C",
  "functional": "PBE",
  "state": "relaxed",
  "cell": [[5.6049, 0.0000, 0.0000], [0.0000, 3.9928, 0.0000], [0.0000, 0.0000, 5.6049]],
  "species": ["C", "Hf", "Bi", "Bi", "Ta"],
  "fractional_positions": [[0.0000, 0.5000, 0.0000], [0.5000, 0.5000, 0.5000], [0.0000, 0.0000, 0.5000], [0.5000, 0.0000, 0.0000], [0.0000, 0.0000, 0.0000]],
  "volume_a3_per_atom": 25.09,
  "dos_at_fermi_per_ev_fu": 3.67,
  "dft_energy_ev_per_atom": -6.67,
  "delta_e_f_ev_per_fu": 5.4,
  "mass_density_g_cm3": 10.450
}

Record 12
{
  "formula": "Hf2Ti3Bi2C2",
  "functional": "PBE",
  "state": "relaxed",
  "cell": [[-0.7360, 2.0562, -3.4166], [-3.9453, -0.8803, 0.3202], [0.9462, 7.5530, 6.7481]],
  "species": ["Hf", "Hf", "Ti", "Ti", "Ti", "Bi", "Bi", "C", "C"],
  "fractional_positions": [[0.5703, 0.5703, 0.1407], [0.4297, 0.4297, 0.8593], [0.0000, 0.0000, 0.0000], [0.2500, 0.7500, 0.5000], [0.7500, 0.2500, 0.5000], [0.1473, 0.1473, 0.2947], [0.8527, 0.8527, 0.7053], [0.5000, 0.0000, 0.0000], [0.0000, 0.5000, 0.0000]],
  "volume_a3_per_atom": 17.83,
  "dos_at_fermi_per_ev_fu": 5.03,
  "dft_energy_ev_per_atom": -7.90,
  "delta_e_f_ev_per_fu": -1.3,
  "mass_density_g_cm3": 9.753
}

Record 13
{
  "formula": "YHf2BiC",
  "functional": "PBE",
  "state": "relaxed",
  "cell": [[5.3531, 0.0000, 0.0000], [0.0000, 5.7487, 0.0000], [0.0000, 0.0000, 5.3531]],
  "species": ["Y", "C", "Hf", "Hf", "Bi"],
  "fractional_positions": [[0.0000, 0.5000, 0.0000], [0.5000, 0.5000, 0.5000], [0.0000, 0.0000, 0.5000], [0.5000, 0.0000, 0.0000], [0.0000, 0.0000, 0.0000]],
  "e_above_lowest_polymorph_ev_per_atom": 2.371,
  "volume_a3_per_atom": 32.95,
  "dos_at_fermi_per_ev_fu": 5.02,
  "dft_energy_ev_per_atom": -5.57,
  "delta_e_f_ev_per_fu": 11.6,
  "mass_density_g_cm3": 6.722
}

Record 14
{
  "formula": "YHf2BiC",
  "functional": "PBE",
  "state": "relaxed",
  "cell": [[4.4583, 0.0000, 0.0000], [0.0000, 5.6061, 0.0000], [0.0000, 0.0000, 4.4583]],
  "species": ["Y", "C", "Hf", "Hf", "Bi"],
  "fractional_positions": [[0.5000, 0.5000, 0.5000], [0.0000, 0.0000, 0.0000], [0.0000, 0.0000, 0.5000], [0.5000, 0.0000, 0.0000], [0.0000, 0.5000, 0.0000]],
  "e_above_lowest_polymorph_ev_per_atom": 0.000,
  "volume_a3_per_atom": 22.29,
  "dos_at_fermi_per_ev_fu": 4.23,
  "dft_energy_ev_per_atom": -7.94,
  "delta_e_f_ev_per_fu": -0.2,
  "mass_density_g_cm3": 9.938
}

Record 15
{
  "formula": "HfZrBiC",
  "functional": "PBE",
  "state": "relaxed",
  "cell": [[3.3225, 0.0000, 0.0000], [1.6612, 2.8774, 0.0000], [1.6612, 0.9591, 8.4424]],
  "species": ["Hf", "Zr", "Bi", "C"],
  "fractional_positions": [[0.4119, 0.4119, 0.7643], [0.5224, 0.5224, 0.4328], [0.6446, 0.6446, 0.0663], [0.7989, 0.7989, 0.6033]],
  "volume_a3_per_atom": 20.18,
  "dos_at_fermi_per_ev_fu": 2.20,
  "dft_energy_ev_per_atom": -7.97,
  "delta_e_f_ev_per_fu": -0.3,
  "mass_density_g_cm3": 10.096
}

Record 16
{
  "formula": "HgBiC2",
  "functional": "PBE",
  "state": "relaxed",
  "cell": [[0.0000, 3.1959, 3.1959], [3.1959, 0.0000, 3.1959], [3.1959, 3.1959, 0.0000]],
  "species": ["C", "C", "Bi", "Hg"],
  "fractional_positions": [[0.2500, 0.2500, 0.2500], [0.7500, 0.7500, 0.7500], [0.5000, 0.5000, 0.5000], [0.0000, 0.0000, 0.0000]],
  "e_above_lowest_polymorph_ev_per_atom": 0.664,
  "volume_a3_per_atom": 16.32,
  "dos_at_fermi_per_ev_fu": 2.68,
  "dft_energy_ev_per_atom": -3.23,
  "delta_e_f_ev_per_fu": 9.7,
  "mass_density_g_cm3": 11.029
}

Record 17
{
  "formula": "Hg2BiC",
  "functional": "PBE",
  "state": "relaxed",
  "cell": [[6.8510, 0.0000, 0.0000], [0.0000, 6.8510, 0.0000], [3.4255, 3.4255, 4.8489]],
  "species": ["C", "C", "Bi", "Bi", "Hg", "Hg", "Hg", "Hg"],
  "fractional_positions": [[0.5000, 0.5000, 0.0000], [0.2500, 0.7500, 0.5000], [0.0000, 0.0000, 0.0000], [0.7500, 0.2500, 0.5000], [0.3733, 0.1250, 0.2500], [0.3767, 0.6250, 0.2500], [0.3750, 0.6267, 0.7500], [0.8750, 0.6233, 0.7500]],
  "e_above_lowest_polymorph_ev_per_atom": 0.000,
  "volume_a3_per_atom": 28.45,
  "dos_at_fermi_per_ev_fu": 0.27,
  "dft_energy_ev_per_atom": -2.36,
  "delta_e_f_ev_per_fu": 4.3,
  "mass_density_g_cm3": 9.079
}

Record 18
{
  "formula": "Hg3BiC",
  "functional": "PBE",
  "state": "relaxed",
  "cell": [[5.9207, 0.0000, 0.0000], [0.0000, 5.9207, 0.0000], [0.0000, 0.0000, 5.9207]],
  "species": ["C", "Bi", "Hg", "Hg", "Hg"],
  "fractional_positions": [[0.5000, 0.5000, 0.5000], [0.0000, 0.0000, 0.0000], [0.0000, 0.5000, 0.0000], [0.0000, 0.0000, 0.5000], [0.5000, 0.0000, 0.0000]],
  "e_above_lowest_polymorph_ev_per_atom": 0.487,
  "volume_a3_per_atom": 41.51,
  "dos_at_fermi_per_ev_fu": 4.09,
  "dft_energy_ev_per_atom": -1.27,
  "delta_e_f_ev_per_fu": 7.6,
  "mass_density_g_cm3": 6.583
}

Record 19
{
  "formula": "HgBiC2",
  "functional": "PBE",
  "state": "relaxed",
  "cell": [[5.3514, 0.0000, 0.0000], [0.0000, 5.3514, 0.0000], [2.6757, 2.6757, 5.2516]],
  "species": ["C", "C", "C", "C", "Bi", "Bi", "Hg", "Hg"],
  "fractional_positions": [[0.6224, 0.1250, 0.2500], [0.1276, 0.6250, 0.2500], [0.3750, 0.3776, 0.7500], [0.8750, 0.8724, 0.7500], [0.0000, 0.0000, 0.0000], [0.7500, 0.2500, 0.5000], [0.5000, 0.5000, 0.0000], [0.2500, 0.7500, 0.5000]],
  "e_above_lowest_polymorph_ev_per_atom": 0.000,
  "volume_a3_per_atom": 18.80,
  "dos_at_fermi_per_ev_fu": 2.16,
  "dft_energy_ev_per_atom": -3.89,
  "delta_e_f_ev_per_fu": 7.1,
  "mass_density_g_cm3": 9.575
}

Record 20
{
  "formula": "HgBi3C",
  "functional": "PBE",
  "state": "relaxed",
  "cell": [[5.0671, 0.0000, 0.0000], [0.0000, 5.0671, 0.0000], [0.0000, 0.0000, 5.0671]],
  "species": ["C", "Bi", "Bi", "Bi", "Hg"],
  "fractional_positions": [[0.0000, 0.0000, 0.0000], [0.0000, 0.5000, 0.0000], [0.0000, 0.0000, 0.5000], [0.5000, 0.0000, 0.0000], [0.5000, 0.5000, 0.5000]],
  "e_above_lowest_polymorph_ev_per_atom": 0.000,
  "volume_a3_per_atom": 26.02,
  "dos_at_fermi_per_ev_fu": 4.66,
  "dft_energy_ev_per_atom": -3.33,
  "delta_e_f_ev_per_fu": 4.5,
  "mass_density_g_cm3": 10.715
}